# LiNpN2

An optimized crystal structure of LiNpN2 (GGA-PBE, the Open Quantum Materials Database).

Summary:
Total magnetization ... 2.00 μB per formula unit
Space-group type ... No. 141
Calculated total energy ... -0.6539 Ry/atom

abc: 6.3053 6.3053 6.3053
angles: 140.18 140.18 57.57
Site moments in Bohr magnetons follow the coordinates.
Sites, in units of the cell vectors:
Li1 0.5000 0.5000 0.0000  0.01
Li2 0.2500 0.7500 0.5000  0.01
N1 0.2078 0.2078 0.0000  -0.14
N2 0.7922 0.7922 0.0000  -0.13
N3 0.5422 0.0422 0.5000  -0.14
N4 0.9578 0.4578 0.5000  -0.13
Np1 0.0000 0.0000 0.0000  2.22
Np2 0.7500 0.2500 0.5000  2.22